No. 1
VASP calculation (PBE-GGA) on an optimized crystal structure of NpIn3Rh4.

- energy of formation (meV per atom) = -395

Cell: 4.584 4.584 6.770 Å, 90.00 90.00 90.00°
Element x y z (fractional)
Np 0.000 0.000 0.000
In 0.000 0.000 0.500
In 0.500 0.500 0.000
In 0.500 0.500 0.500
Rh 0.000 0.500 0.257
Rh 0.000 0.500 0.743
Rh 0.500 0.000 0.257
Rh 0.500 0.000 0.743

=====

No. 2
VASP calculation (PBE-GGA) on an optimized crystal structure of NpInRh6.

- energy of formation (meV per atom) = -309

Cell: 3.996 3.996 7.955 Å, 90.00 90.00 90.00°
Element x y z (fractional)
Np 0.000 0.000 0.000
In 0.000 0.000 0.500
Rh 0.000 0.500 0.244
Rh 0.000 0.500 0.756
Rh 0.500 0.000 0.244
Rh 0.500 0.000 0.756
Rh 0.500 0.500 0.000
Rh 0.500 0.500 0.500

=====

No. 3
VASP calculation (PBE-GGA) on an optimized crystal structure of NpInRh4.

- energy above the most stable polymorph in this dataset (eV/atom) = 0.116
- energy of formation (meV per atom) = -179

Cell: 4.430 3.358 7.444 Å, 90.00 90.22 90.00°
Element x y z (fractional)
Np 0.000 0.000 0.000
In 0.500 0.500 0.500
Rh 0.001 0.500 0.736
Rh 0.498 0.000 0.204
Rh 0.502 0.000 0.796
Rh 0.999 0.500 0.264

=====

No. 4
VASP calculation (PBE-GGA) on an optimized crystal structure of NpInRh4.

- energy above the most stable polymorph in this dataset (eV/atom) = 0.000
- energy of formation (meV per atom) = -295

Cell: 5.277 5.277 5.277 Å, 60.00 60.00 60.00°
Element x y z (fractional)
Np 0.000 0.000 0.000
In 0.750 0.750 0.750
Rh 0.376 0.376 0.376
Rh 0.376 0.376 0.873
Rh 0.376 0.873 0.376
Rh 0.873 0.376 0.376

=====

No. 5
VASP calculation (PBE-GGA) on an optimized crystal structure of Np2InRh5.

- energy of formation (meV per atom) = -433

Cell: 5.796 11.421 4.186 Å, 90.00 90.00 90.00°
Element x y z (fractional)
Np 0.185 0.141 0.000
Np 0.315 0.641 0.000
Np 0.685 0.359 0.000
Np 0.815 0.859 0.000
In 0.000 0.500 0.500
In 0.500 0.000 0.500
Rh 0.000 0.000 0.500
Rh 0.065 0.745 0.500
Rh 0.213 0.384 0.000
Rh 0.287 0.884 0.000
Rh 0.435 0.245 0.500
Rh 0.500 0.500 0.500
Rh 0.565 0.755 0.500
Rh 0.713 0.116 0.000
Rh 0.787 0.616 0.000
Rh 0.935 0.255 0.500

=====

No. 6
VASP calculation (PBE-GGA) on an optimized crystal structure of NpInRuRh.

- energy of formation (meV per atom) = -248

Cell: 4.694 4.694 4.694 Å, 60.00 60.00 60.00°
Element x y z (fractional)
Np 0.000 0.000 0.000
In 0.500 0.500 0.500
Ru 0.250 0.250 0.250
Rh 0.750 0.750 0.750

=====

No. 7
VASP calculation (PBE-GGA) on an optimized crystal structure of Np2InSi2Rh5.

- VASP energy (eV for the cell shown) = -163.34

Cell: 9.865 9.865 3.525 Å, 90.00 90.00 90.00°
Element x y z (fractional)
Np 0.177 0.323 0.000
Np 0.323 0.823 0.000
Np 0.677 0.177 0.000
Np 0.823 0.677 0.000
In 0.000 0.000 0.000
In 0.500 0.500 0.000
Si 0.121 0.621 0.000
Si 0.379 0.121 0.000
Si 0.621 0.879 0.000
Si 0.879 0.379 0.000
Rh 0.000 0.500 0.500
Rh 0.069 0.783 0.500
Rh 0.217 0.069 0.500
Rh 0.283 0.569 0.500
Rh 0.431 0.283 0.500
Rh 0.500 0.000 0.500
Rh 0.569 0.717 0.500
Rh 0.717 0.431 0.500
Rh 0.783 0.931 0.500
Rh 0.931 0.217 0.500

=====

No. 8
VASP calculation (PBE-GGA) on an optimized crystal structure of NpZnInRh.

- energy of formation (meV per atom) = -81

Cell: 4.797 4.797 4.797 Å, 60.00 60.00 60.00°
Element x y z (fractional)
Np 0.000 0.000 0.000
Zn 0.250 0.250 0.250
In 0.500 0.500 0.500
Rh 0.750 0.750 0.750